Entry 1:
The following is a PBE calculation of an optimized crystal structure of PrAgTe2, from the Alexandria database.

Output
magnetization = 0.00 μB per cell
formation energy (no corrections) = -3.3 eV per formula unit
E_tot = -4.2973 eV/atom
SG = R3m (160)

abc: 4.4002 4.4002 7.7904
angles: 73.60 73.60 60.00
Closest atoms and distances in Å follow each position.
Positions (direct):
Pr 0.5006 0.5006 0.4982  6 Te 3.21-3.24
Ag 0.6669 0.6669 0.9993  6 Te 3.05-3.06
Te 0.0763 0.0763 0.7712  3 Ag 3.05, 3 Pr 3.24
Te 0.2563 0.2563 0.2312  3 Ag 3.06, 3 Pr 3.21



Entry 2:
The following is a PBE calculation of an optimized crystal structure of HfScAu4, from the Alexandria database.

Output
magnetization = 0.00 μB per cell
E_tot = -5.6025 eV/atom
formation energy from the elements = -0.7035 eV per atom
SG = P4/mmm (123)
D(E_F) = 0.385 states/eV/atom

abc: 3.5792 3.5792 8.7732
angles: 90.00 90.00 90.00
Closest atoms and distances in Å follow each position.
Positions (direct):
Hf 0.0000 0.0000 0.0000  10 Au 2.91-2.94
Sc 0.5000 0.5000 0.5000  10 Au 2.92-2.94
Au 0.5000 0.5000 0.8354  5 Au 2.89-2.94, 4 Hf 2.91, 1 Sc 2.94
Au 0.5000 0.5000 0.1646  5 Au 2.89-2.94, 4 Hf 2.91, 1 Sc 2.94
Au 0.0000 0.0000 0.6651  5 Au 2.90-2.94, 4 Sc 2.92, 1 Hf 2.94
Au 0.0000 0.0000 0.3349  5 Au 2.90-2.94, 4 Sc 2.92, 1 Hf 2.94



Entry 3:
The following is a PBE calculation of an optimized crystal structure of HgTe2S, from the Alexandria database.

Output
magnetization = 0.00 μB per cell
formation energy (no corrections) = 1.6 eV per formula unit
E_tot = -2.2878 eV/atom
ΔE to the lowest computed polymorph = 176 meV/atom
SG = R-3m (166)
D(E_F) = 0.676 states/eV/atom

abc: 5.2767 5.2767 5.2767
angles: 61.17 61.17 61.17
Closest atoms and distances in Å follow each position.
Positions (direct):
S 0.0000 0.0000 0.0000  2 Te 2.68
Te 0.2095 0.2095 0.2095  1 S 2.68
Te 0.7905 0.7905 0.7905  1 S 2.68
Hg 0.5000 0.5000 0.5000  6 Te 3.15



Entry 4:
The following is a PBE calculation of an optimized crystal structure of Th6Pb2C, from the Alexandria database.

Output
magnetization = 0.00 μB per cell
E_tot = -6.9625 eV/atom
formation energy from the elements = -0.1670 eV per atom
ΔE to the lowest computed polymorph = 0 meV/atom
SG = C2/m (12)
D(E_F) = 1.490 states/eV/atom

abc: 7.1386 7.1372 10.0546
angles: 90.00 89.94 90.00
Closest atoms and distances in Å follow each position.
Positions (direct):
Th 0.9985 0.0000 0.2488  1 C 2.53
Th 0.7502 0.7505 0.4991  1 C 2.52
Th 0.7496 0.7498 0.0009  1 C 2.52
Th 0.7504 0.2498 0.4991  1 C 2.52
Th 0.7498 0.2505 0.0009  1 C 2.52
Th 0.5015 0.5000 0.2512  1 C 2.53
Th 0.0015 0.0000 0.7512  1 C 2.53
Th 0.2498 0.2495 0.5009  1 C 2.52
Th 0.2504 0.2502 0.9991  1 C 2.52
Th 0.2496 0.7502 0.5009  1 C 2.52
Th 0.2502 0.7495 0.9991  1 C 2.52
Th 0.4985 0.5000 0.7488  1 C 2.53
Pb 0.9981 0.5000 0.7500  12 Th 3.56-3.57
Pb 0.5019 0.0000 0.7500  12 Th 3.56-3.57
Pb 0.4981 0.0000 0.2500  12 Th 3.56-3.57
Pb 0.0019 0.5000 0.2500  12 Th 3.56-3.57
C 0.5000 0.5000 0.0000  6 Th 2.52-2.53
C 0.0000 0.0000 0.5000  6 Th 2.52-2.53



Entry 5:
The following is a PBE calculation of an optimized crystal structure of Zr2TcPbW, from the Alexandria database.

Output
magnetization = 0.00 μB per cell
E_tot = -8.1202 eV/atom
formation energy from the elements = 0.7045 eV per atom
SG = P4/mmm (123)
D(E_F) = 0.847 states/eV/atom

abc: 5.0780 4.7110 5.0780
angles: 90.00 90.00 90.00
Closest atoms and distances in Å follow each position.
Positions (direct):
Pb 0.5000 0.5000 0.5000  8 Zr 3.46, 4 W 3.59
Zr 0.0000 0.0000 0.5000  2 Tc 2.54
Zr 0.5000 0.0000 0.0000  2 Tc 2.54
Tc 0.0000 0.0000 0.0000  2 W 2.36, 4 Zr 2.54
W 0.0000 0.5000 0.0000  2 Tc 2.36



Entry 6:
The following is a PBE calculation of an optimized crystal structure of Cu2TePt, from the Alexandria database.

Output
magnetization = 0.00 μB per cell
formation energy (no corrections) = 0.2 eV per formula unit
E_tot = -4.2975 eV/atom
SG = P2/m (10)
D(E_F) = 0.464 states/eV/atom

abc: 4.0400 4.0038 5.6251
angles: 44.91 90.00 90.00
Closest atoms and distances in Å follow each position.
Positions (direct):
Cu 0.0000 0.0000 0.0000  4 Te 2.81-2.83, 4 Pt 2.83, 4 Cu 2.84
Cu 0.5000 0.5000 0.0000  4 Pt 2.81-2.83, 4 Te 2.83, 4 Cu 2.84
Pt 0.5000 0.5000 0.5000  8 Cu 2.81-2.83, 4 Te 2.84
Te 0.0000 0.0000 0.5000  8 Cu 2.81-2.83, 4 Pt 2.84



Entry 7:
The following is a PBE calculation of an optimized crystal structure of Tb6HRu2, from the Alexandria database.

Output
magnetization = 0.00 μB per cell
E_tot = -5.8715 eV/atom
SG = P2_1/c (14)
D(E_F) = 0.793 states/eV/atom

abc: 6.3047 7.2926 9.3277
angles: 90.00 90.18 90.00
Closest atoms and distances in Å follow each position.
Positions (direct):
Tb 0.1352 0.0404 0.2495  1 H 2.51, 1 Ru 2.76
Tb 0.1673 0.3235 0.5660  1 H 2.66, 2 Ru 2.82-2.94
Tb 0.1693 0.3257 0.9352  1 H 2.51
Tb 0.3307 0.8257 0.5648  1 H 2.51
Tb 0.3327 0.8235 0.9340  1 H 2.66, 2 Ru 2.82-2.94
Tb 0.3648 0.5404 0.2505  1 H 2.51, 1 Ru 2.76
Tb 0.8648 0.9596 0.7505  1 H 2.51, 1 Ru 2.76
Tb 0.8327 0.6765 0.4340  1 H 2.66, 2 Ru 2.82-2.94
Tb 0.8307 0.6743 0.0648  1 H 2.51
Tb 0.6693 0.1743 0.4352  1 H 2.51
Tb 0.6673 0.1765 0.0660  1 H 2.66, 2 Ru 2.82-2.94
Tb 0.6352 0.4596 0.7495  1 H 2.51, 1 Ru 2.76
H 0.5000 0.5000 0.0000  6 Tb 2.51-2.66
H 0.0000 0.0000 0.5000  6 Tb 2.51-2.66
Ru 0.0451 0.6153 0.7466  6 Tb 2.76-2.94
Ru 0.4549 0.1153 0.7534  6 Tb 2.76-2.94
Ru 0.5451 0.8847 0.2466  6 Tb 2.76-2.94
Ru 0.9549 0.3847 0.2534  6 Tb 2.76-2.94



Entry 8:
The following is a PBE calculation of an optimized crystal structure of LiTe2AsAu, from the Alexandria database.

Output
magnetization = 0.00 μB per cell
formation energy (no corrections) = 1.5 eV per formula unit
E_tot = -2.9223 eV/atom
SG = P4/mmm (123)
D(E_F) = 1.538 states/eV/atom

abc: 5.4481 4.6462 5.4481
angles: 90.00 90.00 90.00
Closest atoms and distances in Å follow each position.
Positions (direct):
As 0.0000 0.0000 0.0000  2 Li 2.32
Te 0.0000 0.0000 0.5000  2 As 2.72
Te 0.5000 0.0000 0.0000  2 As 2.72
Au 0.5000 0.5000 0.5000  8 Te 3.58, 4 Li 3.85
Li 0.0000 0.5000 0.0000  2 As 2.32